Crystalline AcMnBi at its relaxed geometry. Source: the Alexandria database, functional PBE.

- Energy of formation: -0.0358 eV/atom
- M_tot: 56.53 Bohr magnetons per cell
- Crystal system: orthorhombic
- N(E_F): 44.63 states/eV per cell

Cell: 8.7610 11.3769 14.5080 Å, 90.00 90.00 90.00°
With the nearest neighbours (Å) after each atom.
Space group Fddd (No. 70, origin choice 2)
One atom of each set of equivalent atoms:
Ac  0.0000  0.0000  0.0000 [16 per cell]  4 Bi 3.48-3.64, 4 Mn 3.54-3.75, 2 Ac 3.59
Mn  0.1250  0.9996  0.6250 [16 per cell]  4 Bi 2.84-2.86, 1 Mn 2.85
Bi  0.1250  0.1250  0.4556 [16 per cell]  4 Mn 2.84-2.86

---

Crystalline ScNbCd2Ag at its relaxed geometry. Source: the Alexandria database, functional PBE.

- Energy of formation: 0.9279 eV/atom
- M_tot: 0.12 Bohr magnetons per cell
- Crystal system: tetragonal
- N(E_F): 4.89 states/eV per cell

Cell: 5.4259 5.4259 4.8295 Å, 90.00 90.00 90.00°
With the nearest neighbours (Å) after each atom.
Space group P4/mmm (No. 123)
One atom of each set of equivalent atoms:
Sc  0.0000  0.0000  0.0000 [1 per cell]  2 Nb 2.41
Nb  0.0000  0.0000  0.5000 [1 per cell]  2 Sc 2.41
Cd  0.0000  0.5000  0.5000 [2 per cell]  2 Nb 2.71
Ag  0.5000  0.5000  0.0000 [1 per cell]  8 Cd 3.63, 4 Sc 3.84

---

Crystalline Nd4CS2N at its relaxed geometry. Source: the Alexandria database, functional PBE.

- Formation energy (no corrections): -1.431 eV per atom
- M_tot: 0.00 Bohr magnetons per cell
- Crystal system: monoclinic
- N(E_F): 1.43 states/eV per cell

Cell: 6.6474 3.8449 6.9364 Å, 90.00 108.65 90.00°
With the nearest neighbours (Å) after each atom.
Space group P2/m (No. 10)
One atom of each set of equivalent atoms:
Nd  0.2377  0.0000  0.2134 [2 per cell]  1 C 2.62, 2 N 2.62, 3 S 2.91
Nd  0.2608  0.5000  0.7829 [2 per cell]  1 N 2.64, 2 C 2.64, 3 S 2.89
C  0.5000  0.0000  0.0000 [1 per cell]  6 Nd 2.62-2.64
S  0.0000  0.0000  0.5000 [1 per cell]  6 Nd 2.89-2.91
S  0.5000  0.5000  0.5000 [1 per cell]  6 Nd 2.89-2.91
N  0.0000  0.5000  0.0000 [1 per cell]  6 Nd 2.62-2.64

---

Crystalline CaMg6Sn at its relaxed geometry. Source: the Alexandria database, functional PBE.

- Energy of formation: -0.0940 eV/atom
- M_tot: 0.00 Bohr magnetons per cell
- Crystal system: orthorhombic
- ΔE to the lowest computed polymorph: 0 meV/atom
- N(E_F): 5.54 states/eV per cell

Cell: 5.1545 6.3511 12.0759 Å, 90.00 90.00 90.00°
With the nearest neighbours (Å) after each atom.
Space group Amm2 (No. 38)
One atom of each set of equivalent atoms:
Ca  0.0000  0.0000  0.0000 [2 per cell]  2 Sn 3.18, 10 Mg 3.26-3.46
Mg  0.0000  0.2482  0.7454 [4 per cell]  8 Mg 3.15-3.24, 1 Sn 3.29, 2 Ca 3.37-3.46
Mg  0.5000  0.0000  0.1653 [2 per cell]  8 Mg 3.18-3.22, 2 Ca 3.26
Mg  0.5000  0.0000  0.6479 [2 per cell]  10 Mg 3.18-3.42, 2 Sn 3.25
Mg  0.5000  0.2493  0.8972 [4 per cell]  7 Mg 3.16-3.42, 2 Sn 3.20, 2 Ca 3.27
Sn  0.0000  0.0000  0.4834 [2 per cell]  2 Ca 3.18, 10 Mg 3.20-3.54

---

Crystalline Ac3TbSb4 at its relaxed geometry. Source: the Alexandria database, functional PBE.

- Formation energy (no corrections): -1.172 eV per atom
- M_tot: 0.00 Bohr magnetons per cell
- Crystal system: monoclinic
- N(E_F): 1.99 states/eV per cell

Cell: 8.1479 9.4237 8.1507 Å, 90.00 109.52 90.00°
With the nearest neighbours (Å) after each atom.
Space group P2/c (No. 13)
One atom of each set of equivalent atoms:
Ac  0.0000  0.1236  0.2500 [2 per cell]  6 Sb 3.32-3.44
Ac  0.0000  0.3724  0.7500 [2 per cell]  6 Sb 3.32-3.45
Ac  0.5000  0.3731  0.2500 [2 per cell]  6 Sb 3.32-3.35
Tb  0.5000  0.1230  0.7500 [2 per cell]  6 Sb 3.21-3.24
Sb  0.2570  0.3670  0.5082 [4 per cell]  1 Tb 3.24, 5 Ac 3.32-3.45
Sb  0.2656  0.1168  0.9993 [4 per cell]  2 Tb 3.21-3.22, 4 Ac 3.32-3.44

---

Crystalline PmTe2Pb at its relaxed geometry. Source: the Alexandria database, functional PBE.

- Formation energy (no corrections): -0.796 eV per atom
- M_tot: 0.00 Bohr magnetons per cell
- Crystal system: trigonal
- N(E_F): 10.38 states/eV per cell

Cell: 4.4177 4.4177 23.8686 Å, 90.00 90.00 120.00°
With the nearest neighbours (Å) after each atom.
Space group R-3m (No. 166, hexagonal axes)
One atom of each set of equivalent atoms:
Pm  0.0000  0.0000  0.0000 [3 per cell]  6 Te 3.21
Te  0.0000  0.0000  0.2519 [6 per cell]  3 Pm 3.21, 3 Pb 3.26
Pb  0.0000  0.0000  0.5000 [3 per cell]  6 Te 3.26

---

Crystalline KPdCl at its relaxed geometry. Source: the Alexandria database, functional PBE.

- Formation energy (no corrections): -0.624 eV per atom
- M_tot: 0.00 Bohr magnetons per cell
- Crystal system: hexagonal
- ΔE to the lowest computed polymorph: 194 meV/atom
- N(E_F): 0.03 states/eV per cell

Cell: 4.4021 4.4021 4.4211 Å, 90.00 90.00 120.00°
With the nearest neighbours (Å) after each atom.
Space group P-6m2 (No. 187)
One atom of each set of equivalent atoms:
K  0.0000  0.0000  0.0000 [1 per cell]  6 Cl 3.37, 6 Pd 3.37
Pd  0.6667  0.3333  0.5000 [1 per cell]  3 Cl 2.54
Cl  0.3333  0.6667  0.5000 [1 per cell]  3 Pd 2.54